VASP calculation (PBE) on a geometry-optimized DyTlPbF6 structure.

POSCAR file:
```
DyTlPbF6
1.0
5.703 0.000 0.000
0.000 5.703 0.000
0.000 0.000 11.621
Dy Tl Pb F
2 2 2 12
Cartesian
0.000 0.000 0.000
2.851 2.851 5.811
0.000 0.000 7.745
2.851 2.851 1.935
0.000 0.000 3.915
2.851 2.851 9.725
0.958 0.958 1.741
1.131 1.131 10.108
1.298 1.298 5.580
1.553 4.149 11.390
1.720 3.983 4.298
1.893 3.809 7.551
3.809 1.893 7.551
3.983 1.720 4.298
4.149 1.553 11.390
4.404 4.404 5.580
4.571 4.571 10.108
4.744 4.744 1.741
```

Its crystal system is tetragonal. The space group is P4_2nm (102). As for the uncorrected formation energy: -290.27 kJ/mol of atoms.